# Rb2Sn2Pb15, optimized geometry, DFT GGA-PBE
data_Rb2Sn2Pb15
_chemical_formula_sum 'Rb6 Sn6 Pb45'
_space_group_name_H-M_alt 'R -3 m'
_space_group_IT_number 166
_space_group_name_Hall '-R 3 2"'
_cell_length_a 11.5257
_cell_length_b 11.5257
_cell_length_c 17.2884
_cell_angle_alpha 90.00
_cell_angle_beta 90.00
_cell_angle_gamma 120.00
loop_
_atom_site_label
_atom_site_fract_x
_atom_site_fract_y
_atom_site_fract_z
Rb1 0.0000 0.0000 0.1623
Sn1 0.0000 0.0000 0.4071
Pb1 0.0000 0.2942 0.5000
Pb2 0.0000 0.5000 0.0000
Pb3 0.0009 0.5005 0.3471
# DOS(E_F) = 9.837 states/eV/f.u.
# raw total energy = -198.0 eV for the cell shown
# formation energy from the elements = -0.023 eV/atom
# calculated density = 8.81 g cm⁻³
# total magnetic moment = 0.000 μB per formula unit